1.
Density functional theory data (PBE) for PrPaN2F after structural relaxation.

Results
The value obtained for the spin magnetization is 0.0 μB/f.u.

abc: 3.5524 3.5524 11.7384
angles: 90.00 90.00 90.00
Space group P4/nmm (No. 129, origin choice 2)
Unique sites:
Pr (0.2500, 0.2500, 0.1480) (multiplicity 2)
Pa (0.2500, 0.2500, 0.6093) (multiplicity 2)
N (0.2500, 0.2500, 0.3896) (multiplicity 2)
N (0.2500, 0.2500, 0.7865) (multiplicity 2)
F (0.2500, 0.7500, 0.0000) (multiplicity 2)

2.
Density functional theory data (PBE) for BaFeSeS2 after structural relaxation.

Results
The value obtained for the spin magnetization is 5.7 μB/f.u.

abc: 5.7051 5.7051 6.1384
angles: 90.00 90.00 90.00
Space group P4/mmm (No. 123)
Unique sites:
Ba (0.0000, 0.0000, 0.0000) (multiplicity 1)
Fe (0.5000, 0.5000, 0.5000) (multiplicity 1)
Se (0.0000, 0.0000, 0.5000) (multiplicity 1)
S (0.0000, 0.5000, 0.0000) (multiplicity 2)

3.
Density functional theory data (PBE) for NbCSe2S after structural relaxation.

Results
The value obtained for the spin magnetization is 0.0 μB/f.u.

abc: 4.4134 4.4134 3.9836
angles: 90.00 90.00 90.00
Space group P4/mmm (No. 123)
Unique sites:
Nb (0.0000, 0.0000, 0.0000) (multiplicity 1)
C (0.5000, 0.5000, 0.5000) (multiplicity 1)
Se (0.0000, 0.5000, 0.5000) (multiplicity 2)
S (0.5000, 0.5000, 0.0000) (multiplicity 1)

4.
Density functional theory data (PBE) for Pb3Se after structural relaxation.

Results
The value obtained for the spin magnetization is 0.0 μB/f.u.

abc: 3.9131 3.9131 9.3428
angles: 90.00 90.00 120.00
Space group P-6m2 (No. 187)
Unique sites:
Pb (0.0000, 0.0000, 0.0000) (multiplicity 1)
Pb (0.3333, 0.6667, 0.2812) (multiplicity 2)
Se (0.0000, 0.0000, 0.5000) (multiplicity 1)

| no. | formation energy from raw total energies (eV per atom) |
| --- | --- |
| 1 | -2.20 |
| 2 | 0.95 |
| 3 | 0.95 |
| 4 | -0.09 |